1.
! Pm8AlIn6, optimized geometry, DFT PBE; values from VASP
&SYSTEM
  ibrav = 0, nat = 15, ntyp = 3
/
ATOMIC_SPECIES
In 114.82 In.upf
Pm 145.00 Pm.upf
Al 26.98 Al.upf
CELL_PARAMETERS angstrom
9.3228 0.0000 0.0000
4.6614 8.0738 0.0000
4.6614 2.6913 6.2956
ATOMIC_POSITIONS angstrom
In 10.4724 7.8116 1.0441
Pm 8.1362 2.0530 2.0579
Pm 7.0326 8.0749 2.0579
In 7.7939 7.5926 5.2515
Pm 10.5094 8.7121 4.2377
In 6.6444 5.1635 1.0441
Pm 4.6614 2.6913 0.8793
In 10.8517 3.1724 1.0441
Pm 11.6130 2.6901 4.2377
Pm 5.8461 4.7454 4.2377
Pm 12.7996 6.0197 2.0579
In 8.1733 2.9534 5.2515
Al 0.0000 0.0000 0.0000
In 12.0013 5.6015 5.2515
Pm 13.9842 8.0738 5.4163
! - calculated density (Mg/m³) = 6.6
! - energy (eV/atom) = -4.12
! - crystal system = trigonal
! - D(E_F) (states/eV/f.u.) = 17.27
! - energy of formation (eV/atom) = -0.243

=====

2.
! KBa2HgF, optimized geometry, DFT PBE; values from VASP
&SYSTEM
  ibrav = 0, nat = 5, ntyp = 4
/
ATOMIC_SPECIES
K 39.10 K.upf
F 19.00 F.upf
Ba 137.33 Ba.upf
Hg 200.59 Hg.upf
CELL_PARAMETERS angstrom
-3.3343 3.3287 3.3979
-0.1647 -4.2279 3.9802
4.2102 1.9380 2.2329
ATOMIC_POSITIONS angstrom
K 2.1051 0.9690 1.1164
F 0.0000 0.0000 0.0000
Ba -1.6672 1.6644 1.6990
Ba -0.0824 -2.1139 1.9901
Hg 0.3556 0.5194 4.8055
! - calculated density (Mg/m³) = 5.1
! - energy (eV/atom) = -2.60
! - formation energy (no corrections) (eV/atom) = -1.173
! - crystal system = tetragonal
! - D(E_F) (states/eV/f.u.) = 4.47

=====

3.
! CePuSe2, optimized geometry, DFT PBE; values from VASP
&SYSTEM
  ibrav = 0, nat = 8, ntyp = 3
/
ATOMIC_SPECIES
Pu 244.00 Pu.upf
Se 78.96 Se.upf
Ce 140.12 Ce.upf
CELL_PARAMETERS angstrom
5.9111 0.0000 0.0000
0.0000 5.9111 0.0000
-2.9555 -2.9555 5.9121
ATOMIC_POSITIONS angstrom
Pu 2.9555 2.9555 0.0000
Se 0.0000 2.9555 0.0313
Ce 2.9555 0.0000 2.9560
Se 0.0000 2.9555 5.8808
Se 0.0000 0.0000 2.9874
Pu 0.0000 2.9555 2.9560
Ce 0.0000 0.0000 0.0000
Se 2.9555 2.9555 2.9247
! - calculated density (Mg/m³) = 8.7
! - energy (eV/atom) = -8.48
! - formation energy (no corrections) (eV/atom) = -1.674
! - crystal system = tetragonal
! - D(E_F) (states/eV/f.u.) = 14.05